CeAsF | PBE | optimized geometry

Values from the calculation:
uncorrected formation energy = -2.06 eV per atom
energy relative to the lowest polymorph listed for this composition = 183 meV per atom
volume = 24.0 Å³ per atom

Lattice parameters (Å, degrees): 4.1573 7.1975 5.1113 70.02 90.01 90.54
Closest atoms and distances in Å follow each position.
Positions (direct):
Ce1 0.4967 0.2420 0.6142  1 F 2.31
Ce2 0.5033 0.7580 0.3858  1 F 2.31
F1 0.4941 0.0986 0.2116  1 Ce 2.31
F2 0.5059 0.9014 0.7884  1 Ce 2.31
As1 0.0000 0.5119 0.2330  2 As 2.45-2.68
As2 0.0000 0.4881 0.7670  2 As 2.45-2.68